# 1
This record from Alexandria describes a geometry-optimized YZrTeO6 structure. The functional is PBE.

Computed properties:
SG = P-31c
uncorrected energy = -7.7118 eV per atom
ρ = 5.28 g/cm³
formation energy (no corrections) = -21.503 eV per formula unit
spin magnetization = 0.00 μB/f.u.

a b c (Å): 5.4999 5.4999 9.6891
angles (deg): 90.00 90.00 120.00
Last column: nearest neighbours and their distance in Å.
Positions (direct):
Y1 0.0000 0.0000 0.0000  6 O 2.33
Y2 0.0000 0.0000 0.5000  6 O 2.33
Zr1 0.3333 0.6667 0.2500  6 O 2.13
Zr2 0.6667 0.3333 0.7500  6 O 2.13
Te1 0.3333 0.6667 0.7500  6 O 2.07
Te2 0.6667 0.3333 0.2500  6 O 2.07
O1 0.0086 0.3543 0.6360  1 Te 2.07, 1 Zr 2.13
O2 0.0086 0.6543 0.8640  1 Te 2.07, 1 Zr 2.13
O3 0.3457 0.3543 0.8640  1 Te 2.07, 1 Zr 2.13
O4 0.3457 0.9914 0.6360  1 Te 2.07, 1 Zr 2.13
O5 0.3543 0.0086 0.1360  1 Te 2.07, 1 Zr 2.13
O6 0.3543 0.3457 0.3640  1 Te 2.07, 1 Zr 2.13
O7 0.6457 0.6543 0.6360  1 Te 2.07, 1 Zr 2.13
O8 0.6457 0.9914 0.8640  1 Te 2.07, 1 Zr 2.13
O9 0.6543 0.0086 0.3640  1 Te 2.07, 1 Zr 2.13
O10 0.6543 0.6457 0.1360  1 Te 2.07, 1 Zr 2.13
O11 0.9914 0.3457 0.1360  1 Te 2.07, 1 Zr 2.13
O12 0.9914 0.6457 0.3640  1 Te 2.07, 1 Zr 2.13

=====

# 2
This record from Alexandria describes a geometry-optimized Yb2TeO6 structure. The functional is PBE.

Computed properties:
SG = P321
uncorrected energy = -6.0753 eV per atom
ρ = 7.44 g/cm³
formation energy (no corrections) = -18.735 eV per formula unit
spin magnetization = 2.08 μB/f.u.

a b c (Å): 9.2054 9.2054 5.1955
angles (deg): 90.00 90.00 120.00
Last column: nearest neighbours and their distance in Å.
Positions (direct):
Yb1 0.0000 0.2841 0.0000  6 O 2.23-2.33
Yb2 0.0000 0.6230 0.5000  6 O 2.29-2.36
Yb3 0.2841 0.0000 0.0000  6 O 2.23-2.33
Yb4 0.3770 0.3770 0.5000  6 O 2.29-2.36
Yb5 0.6230 0.0000 0.5000  6 O 2.29-2.36
Yb6 0.7159 0.7159 0.0000  6 O 2.23-2.33
Te1 0.0000 0.0000 0.5000  6 O 1.94
Te2 0.3333 0.6667 0.9995  6 O 1.95
Te3 0.6667 0.3333 0.0005  6 O 1.95
O1 0.0786 0.8790 0.2887  1 Te 1.94
O2 0.1210 0.1996 0.2887  1 Te 1.94
O3 0.1340 0.5417 0.2131  1 Te 1.95
O4 0.1996 0.1210 0.7113  1 Te 1.94
O5 0.2240 0.7590 0.7870  1 Te 1.95
O6 0.2410 0.4650 0.7870  1 Te 1.95
O7 0.4078 0.8660 0.2131  1 Te 1.95
O8 0.4583 0.5922 0.2131  1 Te 1.95
O9 0.4650 0.2410 0.2130  1 Te 1.95
O10 0.5350 0.7760 0.7870  1 Te 1.95
O11 0.5417 0.1340 0.7869  1 Te 1.95
O12 0.5922 0.4583 0.7869  1 Te 1.95
O13 0.7590 0.2240 0.2130  1 Te 1.95
O14 0.7760 0.5350 0.2130  1 Te 1.95
O15 0.8004 0.9214 0.2887  1 Te 1.94
O16 0.8660 0.4078 0.7869  1 Te 1.95
O17 0.8790 0.0786 0.7113  1 Te 1.94
O18 0.9214 0.8004 0.7113  1 Te 1.94

=====

# 3
This record from Alexandria describes a geometry-optimized Yb2TeO2 structure. The functional is PBE.

Computed properties:
SG = I4/mmm
excess energy over the best structure of this formula in the dataset = 28.6 kJ/mol of formula units
uncorrected energy = -5.5757 eV per atom
ρ = 8.17 g/cm³
formation energy (no corrections) = -11.768 eV per formula unit
spin magnetization = 1.29 μB/f.u.

a b c (Å): 7.2426 7.2426 7.2426
angles (deg): 148.60 148.60 45.00
Last column: nearest neighbours and their distance in Å.
Positions (direct):
Yb1 0.1710 0.1710 0.0000  4 O 2.23
Yb2 0.8290 0.8290 0.0000  4 O 2.23
Te1 0.5000 0.5000 0.0000  8 Yb 3.59, 8 O 3.88, 4 Te 3.92
O1 0.2500 0.7500 0.5000  4 Yb 2.23
O2 0.7500 0.2500 0.5000  4 Yb 2.23

=====

ρ of number 3 (Yb2TeO2)? 8.17 g/cm³

=====

formation energy (no corrections) of number 1 (YZrTeO6)? -21.503 eV per formula unit

=====

formation energy (no corrections) of number 2 (Yb2TeO6)? -18.735 eV per formula unit